[1]
Mo2OsBr (GGA-PBEsol, relaxed); formation energy without anion corrections = 0.57 eV per atom; spin magnetization = 0.0 μB per formula unit; energy relative to the lowest polymorph listed for this composition = 0.000 eV per atom
1.0
3.037 0.000 0.000
0.000 3.037 0.000
0.000 0.000 6.873
Mo Os Br
2 1 1
Cartesian
0.000 0.000 0.000
1.518 1.518 1.794
0.000 0.000 3.233
1.518 1.518 5.307

=====

[2]
BeSnP2 (GGA-PBEsol, relaxed); spin magnetization = 0.0 μB per formula unit; ΔE_f = -205 meV per atom
1.0
-2.687 2.687 5.409
2.687 -2.687 5.409
2.687 2.687 -5.409
Be Sn P
2 2 4
Cartesian
0.000 0.000 0.000
0.000 2.687 2.705
2.687 0.000 2.705
0.000 0.000 5.409
4.030 1.049 -1.352
1.049 1.343 1.352
-1.343 1.638 4.057
1.638 1.343 6.762